Record 1
Entry from Alexandria via LeMat-Bulk: a relaxed structure of Sm2ErTmSe5 (GGA-PBE).

abc: 5.0898 5.0898 10.6302
angles: 90.00 90.00 90.00
Fractional coordinates of all 9 atoms:
Sm 0.0000 0.0000 0.1759
Sm 0.0000 0.0000 0.8241
Er 0.5000 0.5000 0.5000
Tm 0.5000 0.5000 0.0000
Se 0.0000 0.0000 0.5000
Se 0.0000 0.5000 0.0000
Se 0.5000 0.0000 0.0000
Se 0.5000 0.5000 0.2540
Se 0.5000 0.5000 0.7460

## Properties
The density is 6.22 g/cm³. As for the uncorrected energy: -46.9 eV/cell. The density of states at the Fermi level comes out at 5.99 states/eV/f.u. As for the space group: P4/mmm, No. 123. For the magnetization, the calculation gives 0.00 μB per cell. The uncorrected formation energy comes out at -118 kJ per mole of atoms.

Record 2
Entry from Alexandria via LeMat-Bulk: a relaxed structure of Sr2YAu2O6 (GGA-PBE).

abc: 6.8873 6.8873 6.8873
angles: 54.10 54.10 54.10
Fractional coordinates of all 11 atoms:
Sr 0.2028 0.2028 0.2028
Sr 0.7972 0.7972 0.7972
Y 0.0000 0.0000 0.0000
Au 0.4153 0.4153 0.4153
Au 0.5847 0.5847 0.5847
O 0.1976 0.7629 0.7629
O 0.2371 0.2371 0.8024
O 0.2371 0.8024 0.2371
O 0.7629 0.1976 0.7629
O 0.7629 0.7629 0.1976
O 0.8024 0.2371 0.2371

## Properties
The density is 6.29 g/cm³. As for the uncorrected energy: -62.8 eV/cell. The density of states at the Fermi level comes out at 8.26 states/eV/f.u. As for the space group: R-3m, No. 166. For the magnetization, the calculation gives 1.83 μB per cell. The uncorrected formation energy comes out at -147 kJ per mole of atoms.

Record 3
Entry from Alexandria via LeMat-Bulk: a relaxed structure of LiLa2Ge (GGA-PBE).

abc: 8.8145 8.8145 8.8145
angles: 155.44 155.44 35.02
Fractional coordinates of all 4 atoms:
Li 0.0000 0.0000 0.0000
La 0.3247 0.3247 0.0000
La 0.6753 0.6753 0.0000
Ge 0.5000 0.5000 0.0000

## Properties
The density is 5.02 g/cm³. As for the uncorrected energy: -16.3 eV/cell. The calculation puts the formation energy at 15 meV/atom. The density of states at the Fermi level comes out at 4.93 states/eV/f.u. As for the space group: I4/mmm, No. 139. For the magnetization, the calculation gives 0.00 μB per cell.

Record 4
Entry from Alexandria via LeMat-Bulk: a relaxed structure of LiPRh3 (GGA-PBE).

abc: 4.1021 4.1021 4.1021
angles: 90.00 90.00 90.00
Fractional coordinates of all 5 atoms:
Li 0.0000 0.0000 0.0000
P 0.5000 0.5000 0.5000
Rh 0.0000 0.0000 0.5000
Rh 0.0000 0.5000 0.0000
Rh 0.5000 0.0000 0.0000

## Properties
The density is 8.34 g/cm³. As for the uncorrected energy: -25.8 eV/cell. The calculation puts the formation energy at 707 meV/atom. The value obtained for the relative energy among the computed polymorphs is 83.69 kJ/mol of atoms. The density of states at the Fermi level comes out at 4.32 states/eV/f.u. As for the space group: Pm-3m, No. 221. For the magnetization, the calculation gives 0.00 μB per cell.

Record 5
Entry from Alexandria via LeMat-Bulk: a relaxed structure of Ho12Co6Os (GGA-PBE).

abc: 8.1661 8.1661 8.1661
angles: 109.47 109.47 109.47
Fractional coordinates of all 19 atoms:
Ho 0.1042 0.8103 0.2939
Ho 0.1897 0.2939 0.4837
Ho 0.1897 0.7061 0.8958
Ho 0.2939 0.1042 0.8103
Ho 0.2939 0.4837 0.1897
Ho 0.4837 0.1897 0.2939
Ho 0.5163 0.8103 0.7061
Ho 0.7061 0.5163 0.8103
Ho 0.7061 0.8958 0.1897
Ho 0.8103 0.2939 0.1042
Ho 0.8103 0.7061 0.5163
Ho 0.8958 0.1897 0.7061
Co 0.1161 0.6161 0.5000
Co 0.3839 0.5000 0.8839
Co 0.5000 0.1161 0.6161
Co 0.5000 0.8839 0.3839
Co 0.6161 0.5000 0.1161
Co 0.8839 0.3839 0.5000
Os 0.0000 0.0000 0.0000

## Properties
The density is 9.99 g/cm³. As for the uncorrected energy: -111.8 eV/cell. The calculation puts the formation energy at -160 meV/atom. The density of states at the Fermi level comes out at 17.99 states/eV/f.u. As for the space group: Im-3, No. 204. For the magnetization, the calculation gives 0.00 μB per cell.

Record 6
Entry from Alexandria via LeMat-Bulk: a relaxed structure of LiSnBi2 (GGA-PBE).

abc: 4.7104 4.7104 6.2077
angles: 109.70 109.70 68.95
Fractional coordinates of all 4 atoms:
Li 0.0000 0.0000 0.0000
Sn 0.1360 0.1360 0.5348
Bi 0.4197 0.4197 0.2362
Bi 0.5787 0.5787 0.8171

## Properties
The density is 7.70 g/cm³. As for the uncorrected energy: -14.0 eV/cell. The calculation puts the formation energy at -79 meV/atom. The density of states at the Fermi level comes out at 1.48 states/eV/f.u. As for the space group: Cm, No. 8. For the magnetization, the calculation gives 0.00 μB per cell.

Record 7
Entry from Alexandria via LeMat-Bulk: a relaxed structure of Pr2Cu5Si4 (GGA-PBE).

abc: 8.3469 7.4970 5.4525
angles: 78.52 61.67 39.81
Fractional coordinates of all 11 atoms:
Pr 0.1436 0.1436 0.8564
Pr 0.8564 0.8564 0.1436
Cu 0.0000 0.0000 0.5000
Cu 0.2500 0.2500 0.2500
Cu 0.5000 0.5000 0.0000
Cu 0.5000 0.5000 0.5000
Cu 0.7500 0.7500 0.7500
Si 0.2243 0.4989 0.5011
Si 0.4989 0.2243 0.7757
Si 0.5011 0.7757 0.2243
Si 0.7757 0.5011 0.4989

## Properties
The density is 6.43 g/cm³. As for the uncorrected energy: -55.6 eV/cell. The density of states at the Fermi level comes out at 3.68 states/eV/f.u. As for the space group: Fmmm, No. 69. For the magnetization, the calculation gives 0.00 μB per cell. The uncorrected formation energy comes out at -34 kJ per mole of atoms.

Record 8
Entry from Alexandria via LeMat-Bulk: a relaxed structure of Li2Cd7Rh (GGA-PBE).

abc: 4.6357 4.6357 11.3248
angles: 90.00 90.00 120.00
Fractional coordinates of all 10 atoms:
Li 0.0000 0.0000 0.0000
Li 0.3333 0.6667 0.5843
Cd 0.0000 0.0000 0.2467
Cd 0.0000 0.0000 0.6921
Cd 0.3333 0.6667 0.0890
Cd 0.3333 0.6667 0.3457
Cd 0.3333 0.6667 0.8239
Cd 0.6667 0.3333 0.4608
Cd 0.6667 0.3333 0.9413
Rh 0.6667 0.3333 0.1922

## Properties
The density is 7.12 g/cm³. As for the uncorrected energy: -18.3 eV/cell. The calculation puts the formation energy at -70 meV/atom. The density of states at the Fermi level comes out at 3.90 states/eV/f.u. As for the space group: P3m1, No. 156. For the magnetization, the calculation gives 0.00 μB per cell.

Record 9
Entry from Alexandria via LeMat-Bulk: a relaxed structure of LiHoTmSi (GGA-PBE).

abc: 4.9153 4.9153 4.9153
angles: 60.00 60.00 60.00
Fractional coordinates of all 4 atoms:
Li 0.0000 0.0000 0.0000
Ho 0.2500 0.2500 0.2500
Tm 0.7500 0.7500 0.7500
Si 0.5000 0.5000 0.5000

## Properties
The density is 7.29 g/cm³. As for the uncorrected energy: -17.8 eV/cell. The density of states at the Fermi level comes out at 2.55 states/eV/f.u. As for the space group: F-43m, No. 216. For the magnetization, the calculation gives 0.00 μB per cell. The uncorrected formation energy comes out at -33 kJ per mole of atoms.

Record 10
Entry from Alexandria via LeMat-Bulk: a relaxed structure of Ac8Tb4Ho (GGA-PBE).

abc: 8.3103 8.3103 8.3103
angles: 90.06 90.06 90.06
Fractional coordinates of all 13 atoms:
Ac 0.2422 0.2422 0.2422
Ac 0.2420 0.2420 0.7574
Ac 0.2420 0.7574 0.2420
Ac 0.2426 0.7580 0.7580
Ac 0.7574 0.2420 0.2420
Ac 0.7580 0.2426 0.7580
Ac 0.7580 0.7580 0.2426
Ac 0.7578 0.7578 0.7578
Tb 0.0000 0.0000 0.0000
Tb 0.0000 0.5000 0.5000
Tb 0.5000 0.0000 0.5000
Tb 0.5000 0.5000 0.0000
Ho 0.5000 0.5000 0.5000

## Properties
The density is 7.57 g/cm³. As for the uncorrected energy: -50.8 eV/cell. The calculation puts the formation energy at 396 meV/atom. The density of states at the Fermi level comes out at 19.89 states/eV/f.u. As for the space group: R-3m, No. 166. For the magnetization, the calculation gives 0.00 μB per cell.

Record 11
Entry from Alexandria via LeMat-Bulk: a relaxed structure of TbTm2C2 (GGA-PBE).

abc: 6.3106 6.3106 6.3106
angles: 146.79 133.59 58.25
Fractional coordinates of all 5 atoms:
Tb 0.0000 0.0000 0.0000
Tm 0.3114 0.3114 0.0000
Tm 0.6886 0.6886 0.0000
C 0.1648 0.6648 0.5000
C 0.8352 0.3352 0.5000

## Properties
The density is 8.75 g/cm³. As for the uncorrected energy: -33.4 eV/cell. The calculation puts the formation energy at -272 meV/atom. The density of states at the Fermi level comes out at 2.00 states/eV/f.u. As for the space group: Immm, No. 71. For the magnetization, the calculation gives 0.90 μB per cell.

Record 12
Entry from Alexandria via LeMat-Bulk: a relaxed structure of MnRh2Br (GGA-PBE).

abc: 5.3701 5.3701 5.3701
angles: 147.29 130.58 60.53
Fractional coordinates of all 4 atoms:
Mn 0.0000 0.0000 0.0000
Rh 0.2568 0.7568 0.5000
Rh 0.5178 0.5178 0.0000
Br 0.7486 0.2486 0.5000

## Properties
The density is 8.98 g/cm³. As for the uncorrected energy: -23.9 eV/cell. The value obtained for the relative energy among the computed polymorphs is 18.62 kJ/mol of atoms. The density of states at the Fermi level comes out at 4.00 states/eV/f.u. As for the space group: Imm2, No. 44. For the magnetization, the calculation gives 4.32 μB per cell. The uncorrected formation energy comes out at 40 kJ per mole of atoms.

Among the records above, which one has the highest magnetization? MnRh2Br